A PBEsol-optimized structure of MnNbRu2. Source: the Alexandria database, functional SCAN.

Summary:
Its spin magnetization is 16.90 μB per cell. The total energy comes out at -1.1253 hartree per atom.

Cell: 6.1250 6.1250 6.1250 Å, 90.00 90.00 90.00°
Last column: nearest neighbours and their distance in Å.
Space group Fm-3m (No. 225)
One atom of each set of equivalent atoms:
Mn1 0.0000 0.0000 0.0000 (multiplicity 4)  8 Ru 2.65
Nb1 0.0000 0.0000 0.5000 (multiplicity 4)  8 Ru 2.65
Ru1 0.2500 0.2500 0.2500 (multiplicity 8)  4 Nb 2.65, 4 Mn 2.65

***

A PBEsol-optimized structure of Hg2OsRh. Source: the Alexandria database, functional SCAN.

Summary:
Its spin magnetization is 0.01 μB per cell. The total energy comes out at -2.1959 hartree per atom.

Cell: 2.8524 4.7476 4.9290 Å, 90.00 90.00 90.00°
Last column: nearest neighbours and their distance in Å.
Space group Pmmm (No. 47)
One atom of each set of equivalent atoms:
Hg1 0.0000 0.0000 0.0000 (multiplicity 1)  4 Rh 2.77, 6 Hg 2.85
Hg2 0.5000 0.0000 0.5000 (multiplicity 1)  4 Os 2.77, 6 Hg 2.85
Os1 0.0000 0.5000 0.5000 (multiplicity 1)  4 Hg 2.77, 4 Rh 2.85, 2 Os 2.85
Rh1 0.5000 0.5000 0.0000 (multiplicity 1)  4 Hg 2.77, 4 Os 2.85, 2 Rh 2.85